No. 1
# MgTe2SI

A geometry-optimized MgTe2SI structure (PBE, the Alexandria database).

Computed properties:
**Formation energy from raw total energies**: 0.49 eV/atom
**Spin magnetization**: 0.73 μB/f.u.
**Symmetry**: No. 123

The structure in CIF format:
```
data_MgTe2SI
_space_group_name_H-M_alt 'P 1'
_space_group_IT_number 1
_cell_length_a 5.517
_cell_length_b 5.517
_cell_length_c 5.377
_cell_angle_alpha 90.00
_cell_angle_beta 90.00
_cell_angle_gamma 90.00
loop_
_space_group_symop_operation_xyz
'x,y,z'
loop_
_atom_site_label
_atom_site_type_symbol
_atom_site_fract_x
_atom_site_fract_y
_atom_site_fract_z
S1 S 0.500 0.500 0.500
I1 I 0.000 0.000 0.500
Mg1 Mg 0.000 0.000 0.000
Te1 Te 0.000 0.500 0.000
Te2 Te 0.500 0.000 0.000
```

***

No. 2
# Mg3SbI9

A geometry-optimized Mg3SbI9 structure (PBE, the Alexandria database).

Computed properties:
**Formation energy from raw total energies**: -0.74 eV/atom
**Spin magnetization**: 0.00 μB/f.u.
**Symmetry**: No. 9

The structure in CIF format:
```
data_Mg3SbI9
_space_group_name_H-M_alt 'P 1'
_space_group_IT_number 1
_cell_length_a 10.516
_cell_length_b 11.493
_cell_length_c 12.673
_cell_angle_alpha 75.11
_cell_angle_beta 65.49
_cell_angle_gamma 62.77
loop_
_space_group_symop_operation_xyz
'x,y,z'
loop_
_atom_site_label
_atom_site_type_symbol
_atom_site_fract_x
_atom_site_fract_y
_atom_site_fract_z
Mg1 Mg 0.452 0.743 0.223
Mg2 Mg 0.957 0.061 0.176
Mg3 Mg 0.233 0.443 0.329
Mg4 Mg 0.582 0.243 0.723
Mg5 Mg 0.806 0.561 0.676
Mg6 Mg 0.995 0.943 0.829
I1 I 0.819 0.081 0.025
I2 I 0.159 0.096 0.695
I3 I 0.172 0.676 0.826
I4 I 0.357 0.285 0.940
I5 I 0.494 0.489 0.222
I6 I 0.076 0.581 0.525
I7 I 0.816 0.930 0.372
I8 I 0.795 0.989 0.722
I9 I 0.555 0.799 0.711
I10 I 0.418 0.785 0.440
I11 I 0.733 0.406 0.594
I12 I 0.881 0.430 0.872
I13 I 0.050 0.596 0.195
I14 I 0.471 0.248 0.555
I15 I 0.935 0.299 0.211
I16 I 0.327 0.176 0.326
I17 I 0.726 0.748 0.055
I18 I 0.267 0.906 0.094
Sb1 Sb 0.021 0.501 0.010
Sb2 Sb 0.468 0.001 0.510
```

***

No. 3
# MgSb2I

A geometry-optimized MgSb2I structure (PBE, the Alexandria database).

Computed properties:
**Formation energy from raw total energies**: -0.08 eV/atom
**Spin magnetization**: 0.00 μB/f.u.
**Symmetry**: No. 122

The structure in CIF format:
```
data_MgSb2I
_space_group_name_H-M_alt 'P 1'
_space_group_IT_number 1
_cell_length_a 4.435
_cell_length_b 4.435
_cell_length_c 13.117
_cell_angle_alpha 80.27
_cell_angle_beta 80.27
_cell_angle_gamma 90.00
loop_
_space_group_symop_operation_xyz
'x,y,z'
loop_
_atom_site_label
_atom_site_type_symbol
_atom_site_fract_x
_atom_site_fract_y
_atom_site_fract_z
Sb1 Sb 0.172 0.625 0.250
Sb2 Sb 0.875 0.828 0.750
Sb3 Sb 0.578 0.125 0.250
Sb4 Sb 0.375 0.422 0.750
Mg1 Mg 0.500 0.500 0.000
Mg2 Mg 0.250 0.750 0.500
I1 I 0.000 0.000 0.000
I2 I 0.750 0.250 0.500
```

***

No. 4
# MgSb2I2

A geometry-optimized MgSb2I2 structure (PBE, the Alexandria database).

Computed properties:
**Formation energy from raw total energies**: -0.08 eV/atom
**Spin magnetization**: 0.00 μB/f.u.
**Symmetry**: No. 139

The structure in CIF format:
```
data_MgSb2I2
_space_group_name_H-M_alt 'P 1'
_space_group_IT_number 1
_cell_length_a 4.046
_cell_length_b 4.046
_cell_length_c 12.974
_cell_angle_alpha 81.03
_cell_angle_beta 81.03
_cell_angle_gamma 90.00
loop_
_space_group_symop_operation_xyz
'x,y,z'
loop_
_atom_site_label
_atom_site_type_symbol
_atom_site_fract_x
_atom_site_fract_y
_atom_site_fract_z
Sb1 Sb 0.250 0.750 0.500
Sb2 Sb 0.750 0.250 0.500
Mg1 Mg 0.000 0.000 0.000
I1 I 0.571 0.571 0.857
I2 I 0.429 0.429 0.143
```

***

No. 5
# MgSbI2

A geometry-optimized MgSbI2 structure (PBE, the Alexandria database).

Computed properties:
**Formation energy from raw total energies**: 0.14 eV/atom
**Spin magnetization**: 0.00 μB/f.u.
**Symmetry**: No. 225

The structure in CIF format:
```
data_MgSbI2
_space_group_name_H-M_alt 'P 1'
_space_group_IT_number 1
_cell_length_a 5.527
_cell_length_b 5.527
_cell_length_c 5.527
_cell_angle_alpha 60.00
_cell_angle_beta 60.00
_cell_angle_gamma 60.00
loop_
_space_group_symop_operation_xyz
'x,y,z'
loop_
_atom_site_label
_atom_site_type_symbol
_atom_site_fract_x
_atom_site_fract_y
_atom_site_fract_z
I1 I 0.750 0.750 0.750
I2 I 0.250 0.250 0.250
Sb1 Sb 0.500 0.500 0.500
Mg1 Mg 0.000 0.000 0.000
```

***

No. 6
# MgSbI2

A geometry-optimized MgSbI2 structure (PBE, the Alexandria database).

Computed properties:
**Formation energy from raw total energies**: -0.04 eV/atom
**Spin magnetization**: 0.00 μB/f.u.
**Symmetry**: No. 122

The structure in CIF format:
```
data_MgSbI2
_space_group_name_H-M_alt 'P 1'
_space_group_IT_number 1
_cell_length_a 8.566
_cell_length_b 8.566
_cell_length_c 7.069
_cell_angle_alpha 52.71
_cell_angle_beta 52.71
_cell_angle_gamma 90.00
loop_
_space_group_symop_operation_xyz
'x,y,z'
loop_
_atom_site_label
_atom_site_type_symbol
_atom_site_fract_x
_atom_site_fract_y
_atom_site_fract_z
Mg1 Mg 0.500 0.500 0.000
Mg2 Mg 0.250 0.750 0.500
Sb1 Sb 0.750 0.250 0.500
Sb2 Sb 0.000 0.000 0.000
I1 I 0.375 0.424 0.750
I2 I 0.875 0.826 0.750
I3 I 0.174 0.625 0.250
I4 I 0.576 0.125 0.250
```

***

- spin magnetization of number 1 (MgTe2SI)?
  0.73 μB/f.u.